(1)
Sr3PbI2Br6 (PBE, relaxed); V = 41.76 Å³/atom; formation energy without anion corrections = -1.694 eV per atom
1.0
7.940 -4.543 0.000
7.940 4.543 0.000
-0.496 0.000 6.946
Sr Pb I Br
3 1 2 6
Direct
0.000 0.000 0.000
0.000 0.500 0.500
0.500 0.000 0.500
0.500 0.500 0.500
0.178 0.178 0.786
0.822 0.822 0.214
0.174 0.670 0.738
0.328 0.328 0.278
0.330 0.826 0.262
0.670 0.174 0.738
0.672 0.672 0.722
0.826 0.330 0.262

***

(2)
Te2PbIBr (PBE, relaxed); V = 37.51 Å³/atom; formation energy without anion corrections = 0.433 eV per atom
1.0
5.740 0.000 0.000
0.000 5.740 0.000
0.000 0.000 5.694
Te Pb I Br
2 1 1 1
Direct
0.000 0.500 0.000
0.500 0.000 0.000
0.000 0.000 0.500
0.500 0.500 0.500
0.500 0.500 0.000

***

(3)
Te2PbIBr (PBE, relaxed); V = 46.87 Å³/atom; formation energy without anion corrections = 0.420 eV per atom
1.0
6.208 0.000 0.000
0.000 6.208 0.000
0.000 0.000 6.082
Te Pb I Br
2 1 1 1
Direct
0.000 0.500 0.000
0.500 0.000 0.000
0.000 0.000 0.000
0.000 0.000 0.500
0.500 0.500 0.500

***

(4)
TePbI2Br (PBE, relaxed); V = 47.59 Å³/atom; formation energy without anion corrections = 0.222 eV per atom
1.0
6.116 0.000 0.000
0.000 6.116 0.000
0.000 0.000 6.362
Te Pb I Br
1 1 2 1
Direct
0.000 0.000 0.000
0.000 0.000 0.500
0.000 0.500 0.500
0.500 0.000 0.500
0.500 0.500 0.000

***

- Which value of formation energy without anion corrections does entry 2 give?
  0.433 eV per atom